No. 1
DFT (GGA-PBE) results for a relaxed Nd4Er3Th crystal.

Properties
Density of states at the Fermi level, states/eV per atom: 1.7294
Size of the total moment, μB/atom: 0.00
Crystal system: monoclinic
Energy of formation, eV/f.u.: 1.383

abc: 23.717 3.462 6.826
angles: 90.00 106.45 90.00
Space group C2/m (No. 12)
Symmetry-distinct sites (fractional):
1 Nd 0.121 0.000 0.366 x4
2 Nd 0.241 0.500 0.235 x4
3 Er 0.000 0.000 0.500 x2
4 Er 0.122 0.000 0.884 x4
5 Th 0.000 0.500 0.000 x2


No. 2
DFT (GGA-PBE) results for a relaxed CsScC crystal.

Properties
Density of states at the Fermi level, states/eV per atom: 0.1202
Size of the total moment, μB/atom: 0.00
Crystal system: orthorhombic
Energy of formation, eV/f.u.: 1.446

abc: 13.548 3.878 6.699
angles: 90.00 90.00 90.00
Space group Pnma (No. 62)
Symmetry-distinct sites (fractional):
1 Cs 0.215 0.250 0.077 x4
2 Sc 0.020 0.750 0.661 x4
3 C 0.087 0.250 0.585 x4


No. 3
DFT (GGA-PBE) results for a relaxed AsSICl2 crystal.

Properties
Density of states at the Fermi level, states/eV per atom: 0.9093
Size of the total moment, μB/atom: 0.40
Formation energy (no corrections), kcal/mol of atoms: 17.6
Crystal system: tetragonal

abc: 5.439 5.439 5.231
angles: 90.00 90.00 90.00
Space group P4/mmm (No. 123)
Symmetry-distinct sites (fractional):
1 As 0.000 0.000 0.000 x1
2 S 0.500 0.500 0.000 x1
3 I 0.500 0.500 0.500 x1
4 Cl 0.000 0.500 0.500 x2


No. 4
DFT (GGA-PBE) results for a relaxed Mn2CuRe crystal.

Properties
Density of states at the Fermi level, states/eV per atom: 0.9499
Size of the total moment, μB/atom: 1.27
Crystal system: orthorhombic
Energy of formation, eV/f.u.: 0.829

abc: 3.300 4.063 7.836
angles: 90.00 90.00 90.00
Space group Cmmm (No. 65)
Symmetry-distinct sites (fractional):
1 Mn 0.000 0.000 0.245 x4
2 Cu 0.000 0.500 0.000 x2
3 Re 0.000 0.500 0.500 x2


No. 5
DFT (GGA-PBE) results for a relaxed TaAlBr crystal.

Properties
Density of states at the Fermi level, states/eV per atom: 0.3915
Size of the total moment, μB/atom: 0.00
Formation energy (no corrections), kcal/mol of atoms: -5.2
Crystal system: orthorhombic

abc: 3.203 3.258 12.438
angles: 90.00 90.00 90.00
Space group Pmmn (No. 59, origin choice 2)
Symmetry-distinct sites (fractional):
1 Ta 0.250 0.250 0.190 x2
2 Al 0.250 0.250 0.941 x2
3 Br 0.250 0.750 0.352 x2


No. 6
DFT (GGA-PBE) results for a relaxed CuSiTe2 crystal.

Properties
Density of states at the Fermi level, states/eV per atom: 0.8824
Size of the total moment, μB/atom: 0.00
Formation energy (no corrections), kcal/mol of atoms: 2.8
Crystal system: tetragonal

abc: 6.059 6.059 12.550
angles: 90.00 90.00 90.00
Space group I-42d (No. 122)
Symmetry-distinct sites (fractional):
1 Cu 0.000 0.000 0.000 x4
2 Si 0.000 0.000 0.500 x4
3 Te 0.234 0.250 0.125 x8


No. 7
DFT (GGA-PBE) results for a relaxed Ca6Zn5Cu crystal.

Properties
Density of states at the Fermi level, states/eV per atom: 0.7341
Size of the total moment, μB/atom: 0.00
Crystal system: monoclinic
Energy of formation, eV/f.u.: -2.418

abc: 5.228 7.219 8.243
angles: 90.00 108.35 90.00
Space group P2/m (No. 10)
Symmetry-distinct sites (fractional):
1 Ca 0.000 0.246 0.000 x2
2 Ca 0.335 0.248 0.671 x4
3 Zn 0.166 0.500 0.333 x2
4 Zn 0.170 0.000 0.340 x2
5 Zn 0.500 0.500 0.000 x1
6 Cu 0.500 0.000 0.000 x1


No. 8
DFT (GGA-PBE) results for a relaxed DyHfOsRh crystal.

Properties
Density of states at the Fermi level, states/eV per atom: 0.3300
Size of the total moment, μB/atom: 0.00
Crystal system: cubic
Energy of formation, eV/f.u.: -2.523

abc: 6.663 6.663 6.663
angles: 90.00 90.00 90.00
Space group F-43m (No. 216)
Symmetry-distinct sites (fractional):
1 Dy 0.000 0.000 0.000 x4
2 Hf 0.000 0.000 0.500 x4
3 Os 0.250 0.250 0.250 x4
4 Rh 0.250 0.250 0.750 x4


No. 9
DFT (GGA-PBE) results for a relaxed RbAgBr6 crystal.

Properties
Density of states at the Fermi level, states/eV per atom: 0.5070
Size of the total moment, μB/atom: 0.00
Formation energy (no corrections), kcal/mol of atoms: -8.7
Crystal system: trigonal

abc: 10.8810 10.8810 7.5083
angles: 90.00 90.00 120.00
Space group R-3m (No. 166, hexagonal axes)
Symmetry-distinct sites (fractional):
1 Rb 0.0000 0.0000 0.0000 x3
2 Ag 0.0000 0.0000 0.5000 x3
3 Br 0.0798 0.5399 0.3469 x18


No. 10
DFT (GGA-PBE) results for a relaxed RbPO3 crystal.

Properties
Density of states at the Fermi level, states/eV per atom: 0.0000
Size of the total moment, μB/atom: 0.00
Formation energy (no corrections), kcal/mol of atoms: -51.9
Crystal system: monoclinic

abc: 13.362 7.748 12.105
angles: 90.00 110.46 90.00
Space group C2/c (No. 15)
Symmetry-distinct sites (fractional):
1 Rb 0.092 0.225 0.499 x8
2 Rb 0.250 0.250 0.000 x4
3 P 0.000 0.190 0.750 x4
4 P 0.113 0.469 0.246 x8
5 O 0.000 0.393 0.250 x4
6 O 0.039 0.096 0.865 x8
7 O 0.094 0.323 0.747 x8
8 O 0.121 0.421 0.129 x8
9 O 0.199 0.421 0.360 x8


No. 11
DFT (GGA-PBE) results for a relaxed HgIr3 crystal.

Properties
Density of states at the Fermi level, states/eV per atom: 1.1253
Size of the total moment, μB/atom: 0.00
Crystal system: hexagonal
Energy of formation, eV/f.u.: 1.436

abc: 2.8015 2.8015 9.4236
angles: 90.00 90.00 120.00
Space group P-6m2 (No. 187)
Symmetry-distinct sites (fractional):
1 Hg 0.0000 0.0000 0.0000 x1
2 Ir 0.0000 0.0000 0.5000 x1
3 Ir 0.3333 0.6667 0.2681 x2


No. 12
DFT (GGA-PBE) results for a relaxed AlNi crystal.

Properties
Density of states at the Fermi level, states/eV per atom: 0.6214
Size of the total moment, μB/atom: 0.00
Crystal system: cubic
Energy of formation, eV/f.u.: -0.058

abc: 4.856 4.856 4.856
angles: 90.00 90.00 90.00
Space group Fm-3m (No. 225)
Symmetry-distinct sites (fractional):
1 Al 0.000 0.000 0.000 x4
2 Ni 0.000 0.000 0.500 x4


No. 13
DFT (GGA-PBE) results for a relaxed CaTcB3 crystal.

Properties
Density of states at the Fermi level, states/eV per atom: 0.1446
Size of the total moment, μB/atom: 0.00
Crystal system: trigonal
Energy of formation, eV/f.u.: -0.085

abc: 5.1753 5.1753 8.4532
angles: 90.00 90.00 120.00
Space group R3m (No. 160, hexagonal axes)
Symmetry-distinct sites (fractional):
1 Ca 0.0000 0.0000 0.0000 x3
2 Tc 0.0000 0.0000 0.4581 x3
3 B 0.2216 0.4432 0.3717 x9


No. 14
DFT (GGA-PBE) results for a relaxed ReSbCl2 crystal.

Properties
Density of states at the Fermi level, states/eV per atom: 0.0887
Size of the total moment, μB/atom: 0.00
Formation energy (no corrections), kcal/mol of atoms: 7.2
Crystal system: tetragonal

abc: 8.573 8.573 5.165
angles: 90.00 90.00 90.00
Space group I-42d (No. 122)
Symmetry-distinct sites (fractional):
1 Re 0.000 0.000 0.000 x4
2 Sb 0.000 0.000 0.500 x4
3 Cl 0.122 0.250 0.125 x8


No. 15
DFT (GGA-PBE) results for a relaxed MnB2S crystal.

Properties
Density of states at the Fermi level, states/eV per atom: 0.2667
Size of the total moment, μB/atom: 0.72
Formation energy (no corrections), kcal/mol of atoms: 11.9
Crystal system: tetragonal

abc: 4.976 4.976 7.558
angles: 90.00 90.00 90.00
Space group I-42d (No. 122)
Symmetry-distinct sites (fractional):
1 Mn 0.000 0.000 0.000 x4
2 B 0.212 0.250 0.625 x8
3 S 0.000 0.000 0.500 x4


No. 16
DFT (GGA-PBE) results for a relaxed TlVTeN2 crystal.

Properties
Density of states at the Fermi level, states/eV per atom: 0.6166
Size of the total moment, μB/atom: 0.00
Formation energy (no corrections), kcal/mol of atoms: 11.8
Crystal system: tetragonal

abc: 3.986 3.986 5.550
angles: 90.00 90.00 90.00
Space group P4/mmm (No. 123)
Symmetry-distinct sites (fractional):
1 Tl 0.000 0.000 0.000 x1
2 V 0.500 0.500 0.500 x1
3 Te 0.500 0.500 0.000 x1
4 N 0.000 0.500 0.500 x2


No. 17
DFT (GGA-PBE) results for a relaxed Ba2YSiF crystal.

Properties
Density of states at the Fermi level, states/eV per atom: 0.9738
Size of the total moment, μB/atom: 0.11
Formation energy (no corrections), kcal/mol of atoms: -11.6
Crystal system: tetragonal

abc: 6.497 6.497 5.420
angles: 90.00 90.00 90.00
Space group P4/mmm (No. 123)
Symmetry-distinct sites (fractional):
1 Ba 0.000 0.500 0.000 x2
2 Y 0.000 0.000 0.500 x1
3 Si 0.000 0.000 0.000 x1
4 F 0.500 0.500 0.500 x1


No. 18
DFT (GGA-PBE) results for a relaxed KSmSn crystal.

Properties
Density of states at the Fermi level, states/eV per atom: 0.0956
Size of the total moment, μB/atom: 0.00
Crystal system: trigonal
Energy of formation, eV/f.u.: -0.698

abc: 5.3618 5.3618 31.1899
angles: 90.00 90.00 120.00
Space group R-3m (No. 166, hexagonal axes)
Symmetry-distinct sites (fractional):
1 K 0.0000 0.0000 0.1231 x6
2 Sm 0.0000 0.0000 0.2958 x6
3 Sn 0.0000 0.0000 0.3974 x6


No. 19
DFT (GGA-PBE) results for a relaxed Pm2Zn3Cu6 crystal.

Properties
Density of states at the Fermi level, states/eV per atom: 0.4959
Size of the total moment, μB/atom: 0.00
Crystal system: orthorhombic
Energy of formation, eV/f.u.: -0.980

abc: 8.840 10.829 4.107
angles: 90.00 90.00 90.00
Space group Cmmm (No. 65)
Symmetry-distinct sites (fractional):
1 Pm 0.216 0.000 0.000 x4
2 Zn 0.000 0.259 0.000 x4
3 Zn 0.000 0.500 0.500 x2
4 Cu 0.000 0.115 0.500 x4
5 Cu 0.147 0.316 0.500 x8


No. 20
DFT (GGA-PBE) results for a relaxed AcHo2 crystal.

Properties
Density of states at the Fermi level, states/eV per atom: 1.4744
Size of the total moment, μB/atom: 0.00
Crystal system: monoclinic
Energy of formation, eV/f.u.: 0.417

abc: 17.374 3.727 7.556
angles: 90.00 115.71 90.00
Space group C2/m (No. 12)
Symmetry-distinct sites (fractional):
1 Ac 0.183 0.000 0.183 x4
2 Ho 0.000 0.500 0.211 x4
3 Ho 0.113 0.000 0.613 x4